A relaxed structure of La3Al2FeO9. Source: Alexandria via LeMat-Bulk, functional PBE+U.

Lattice parameters (Å, degrees): 5.4038 5.4038 6.6147 90.00 90.00 120.00
Last column: nearest neighbours and their distance in Å.
Fractional positions:
1 La 0.0000 0.0000 0.0000  12 O 2.70
2 La 0.3333 0.6667 0.6614  12 O 2.67-2.73
3 La 0.6667 0.3333 0.3386  12 O 2.67-2.73
4 Al 0.3333 0.6667 0.1618  6 O 1.89-1.90
5 Al 0.6667 0.3333 0.8382  6 O 1.89-1.90
6 Fe 0.0000 0.0000 0.5000  6 O 1.94
7 O 0.0000 0.5000 0.0000  2 Al 1.89
8 O 0.1689 0.3379 0.3313  1 Al 1.90, 1 Fe 1.94
9 O 0.1689 0.8311 0.3313  1 Al 1.90, 1 Fe 1.94
10 O 0.3379 0.1689 0.6687  1 Al 1.90, 1 Fe 1.94
11 O 0.5000 0.0000 0.0000  2 Al 1.89
12 O 0.5000 0.5000 0.0000  2 Al 1.89
13 O 0.6621 0.8311 0.3313  1 Al 1.90, 1 Fe 1.94
14 O 0.8311 0.1689 0.6687  1 Al 1.90, 1 Fe 1.94
15 O 0.8311 0.6621 0.6687  1 Al 1.90, 1 Fe 1.94

SG   P-3m1, No. 164
Theoretical density   6.7 g cm⁻³
Total DFT energy (no corrections)   -7.70 eV/atom